Record 1
! Nd3Pt2Au3, optimized geometry, DFT PBE; values from VASP
! - Crystal system: monoclinic
&SYSTEM
  ibrav = 0, nat = 8, ntyp = 3
/
ATOMIC_SPECIES
Au 196.97 Au.upf
Nd 144.24 Nd.upf
Pt 195.08 Pt.upf
CELL_PARAMETERS angstrom
-1.582 1.953 3.279
1.968 -3.690 3.148
7.721 4.664 -1.655
ATOMIC_POSITIONS crystal
Au 0.374 0.909 0.748
Au 0.626 0.091 0.252
Au 0.500 0.500 0.000
Nd 0.157 0.591 0.314
Nd 0.000 0.000 0.000
Nd 0.843 0.409 0.686
Pt 0.763 0.841 0.526
Pt 0.237 0.159 0.474



Record 2
! Nd8PtAu2, optimized geometry, DFT PBE; values from VASP
! - Crystal system: monoclinic
&SYSTEM
  ibrav = 0, nat = 11, ntyp = 3
/
ATOMIC_SPECIES
Nd 144.24 Nd.upf
Au 196.97 Au.upf
Pt 195.08 Pt.upf
CELL_PARAMETERS angstrom
6.137 -0.500 -1.401
-2.841 7.415 -4.913
-0.386 -1.857 9.143
ATOMIC_POSITIONS crystal
Nd 0.337 0.860 0.637
Nd 0.661 0.434 0.175
Nd 0.030 0.223 0.223
Nd 0.985 0.793 0.176
Nd 0.985 0.176 0.793
Nd 0.779 0.690 0.690
Nd 0.337 0.637 0.860
Nd 0.661 0.175 0.434
Au 0.448 0.273 0.725
Au 0.448 0.725 0.273
Pt 0.328 0.048 0.048



Number 1: energy relative to the elements -0.800 eV/atom, total magnetic moment 0.0 μB/cell, offset from the most stable computed form 2.40 kcal/mol of atoms. Number 2: energy relative to the elements -0.409 eV/atom, total magnetic moment 0.0 μB/cell, offset from the most stable computed form 1.62 kcal/mol of atoms.